Record 1
The following is a DFT calculation (PBE) of SrPm2FeN4 after structural relaxation. Values from VASP.

Cell and atoms, written as Quantum ESPRESSO input:
```
&SYSTEM
  ibrav = 0, nat = 16, ntyp = 4
/
ATOMIC_SPECIES
N 14.01 N.upf
Pm 145.00 Pm.upf
Sr 87.62 Sr.upf
Fe 55.84 Fe.upf
CELL_PARAMETERS angstrom
-1.575 3.144 0.098
-1.898 -2.752 -5.344
-9.297 -4.837 5.794
ATOMIC_POSITIONS angstrom
N -10.179 -3.211 2.592
N -7.891 -2.021 1.167
N -4.648 -2.419 2.897
N -9.064 -4.547 0.221
N -2.590 -1.234 -2.045
N -4.878 -2.424 -0.619
N 0.000 0.000 0.000
N -3.706 0.102 0.326
Pm -1.899 1.051 -1.086
Pm -7.037 -3.501 -0.755
Pm -10.871 -5.496 1.634
Pm -5.733 -0.944 1.303
Sr -5.261 -0.582 -2.740
Sr -7.509 -3.863 3.288
Fe -9.484 -2.813 0.994
Fe -3.285 -1.632 -0.447
```

## Properties
Its total moment is 3.38 Bohr magnetons per cell. The energy relative to the elements, uncorrected is -0.856 eV/atom. As for the calculated total energy: -7.4745 eV/atom.

Record 2
The following is a DFT calculation (PBE) of Ho6Zn5Ru after structural relaxation. Values from VASP.

Cell and atoms, written as Quantum ESPRESSO input:
```
&SYSTEM
  ibrav = 0, nat = 12, ntyp = 3
/
ATOMIC_SPECIES
Ho 164.93 Ho.upf
Zn 65.41 Zn.upf
Ru 101.07 Ru.upf
CELL_PARAMETERS angstrom
4.719 -0.028 1.573
0.038 7.075 0.013
0.007 -0.014 7.845
ATOMIC_POSITIONS angstrom
Ho 0.773 1.716 5.578
Ho 0.793 5.331 5.584
Ho 2.388 5.368 0.796
Ho 2.369 1.679 0.789
Ho 3.991 5.317 3.852
Ho 3.972 1.702 3.846
Zn 1.546 -0.014 3.228
Zn 1.586 3.524 3.170
Zn 0.019 3.538 0.006
Zn 3.178 3.509 6.260
Zn 3.180 -0.028 6.190
Ru 0.000 0.000 0.000
```

## Properties
Its total moment is 0.00 Bohr magnetons per cell. As for the calculated total energy: -3.9854 eV/atom.

Record 3
The following is a DFT calculation (PBE) of TiBH after structural relaxation. Values from VASP.

Cell and atoms, written as Quantum ESPRESSO input:
```
&SYSTEM
  ibrav = 0, nat = 12, ntyp = 3
/
ATOMIC_SPECIES
B 10.81 B.upf
Ti 47.87 Ti.upf
H 1.01 H.upf
CELL_PARAMETERS angstrom
-0.287 -2.648 -5.718
-0.975 -2.780 1.336
-4.873 1.494 -0.448
ATOMIC_POSITIONS angstrom
B -3.068 -1.967 -2.415
B 0.000 0.000 0.000
B -2.580 -0.577 -3.083
B -0.488 -1.390 0.668
Ti -5.081 -2.610 -3.264
Ti -1.054 -1.324 -1.565
Ti -3.937 -1.593 -0.313
Ti -2.198 -2.341 -4.516
H -2.519 -0.302 -0.510
H -0.612 -2.255 -3.180
H -5.523 -1.679 -1.649
H -3.616 -3.632 -4.320
```

## Properties
The calculation puts the energy relative to the lowest polymorph listed for this composition at 302 meV/atom. Its total moment is 0.00 Bohr magnetons per cell. As for the calculated total energy: -6.2919 eV/atom.

Record 4
The following is a DFT calculation (PBE) of KSi2Br after structural relaxation. Values from VASP.

Cell and atoms, written as Quantum ESPRESSO input:
```
&SYSTEM
  ibrav = 0, nat = 4, ntyp = 3
/
ATOMIC_SPECIES
Si 28.09 Si.upf
K 39.10 K.upf
Br 79.90 Br.upf
CELL_PARAMETERS angstrom
-0.526 0.192 -2.755
-2.283 -6.103 0.012
-5.681 2.128 1.233
ATOMIC_POSITIONS angstrom
Si -5.305 1.987 1.151
Si -3.217 1.205 0.698
K -5.666 -1.360 -0.447
Br -2.825 -2.424 -1.063
```

## Properties
The calculation puts the energy relative to the lowest polymorph listed for this composition at 735 meV/atom. Its total moment is 0.00 Bohr magnetons per cell. The energy relative to the elements, uncorrected is 0.340 eV/atom. As for the calculated total energy: -3.0642 eV/atom.

Record 5
The following is a DFT calculation (PBE) of Tc2OsW after structural relaxation. Values from VASP.

Cell and atoms, written as Quantum ESPRESSO input:
```
&SYSTEM
  ibrav = 0, nat = 4, ntyp = 3
/
ATOMIC_SPECIES
Tc 98.00 Tc.upf
Os 190.23 Os.upf
W 183.84 W.upf
CELL_PARAMETERS angstrom
-0.689 5.107 0.749
-1.888 1.531 4.605
3.852 -2.515 -2.440
ATOMIC_POSITIONS angstrom
Tc 0.983 2.837 0.398
Tc -2.568 6.615 5.336
Os 0.290 1.290 2.520
W -1.296 3.337 2.692
```

## Properties
The calculation puts the energy relative to the lowest polymorph listed for this composition at 171 meV/atom. Its total moment is 0.00 Bohr magnetons per cell. As for the calculated total energy: -10.9979 eV/atom.

Record 6
The following is a DFT calculation (PBE) of LiTlHgSb after structural relaxation. Values from VASP.

Cell and atoms, written as Quantum ESPRESSO input:
```
&SYSTEM
  ibrav = 0, nat = 4, ntyp = 4
/
ATOMIC_SPECIES
Sb 121.76 Sb.upf
Hg 200.59 Hg.upf
Li 6.94 Li.upf
Tl 204.38 Tl.upf
CELL_PARAMETERS angstrom
5.272 0.000 0.000
2.636 4.566 0.000
2.636 1.522 4.305
ATOMIC_POSITIONS angstrom
Sb 5.272 3.044 2.152
Hg 7.908 4.566 3.229
Li 0.000 0.000 0.000
Tl 2.636 1.522 1.076
```

## Properties
The calculation puts the energy relative to the lowest polymorph listed for this composition at 102 meV/atom. Its total moment is 0.00 Bohr magnetons per cell. The energy relative to the elements, uncorrected is -0.072 eV/atom. As for the calculated total energy: -2.2478 eV/atom.